Record 1
Here is ZrZn2Sb after structural relaxation from OQMD via LeMat-Bulk. Energies are from PBE.

The structure in POSCAR format:
```
ZrZn2Sb
1.0
6.8703 0.0000 0.0000
0.0000 6.8703 0.0000
0.0000 0.0000 6.8703
Zr Zn Sb
4 8 4
direct
0.0000 0.0000 0.0000
0.0000 0.5000 0.5000
0.5000 0.0000 0.5000
0.5000 0.5000 0.0000
0.0000 0.0000 0.5000
0.0000 0.5000 0.0000
0.2500 0.2500 0.2500
0.2500 0.7500 0.7500
0.5000 0.0000 0.0000
0.5000 0.5000 0.5000
0.7500 0.2500 0.7500
0.7500 0.7500 0.2500
0.2500 0.2500 0.7500
0.2500 0.7500 0.2500
0.7500 0.2500 0.2500
0.7500 0.7500 0.7500
```

Properties
**Symmetry**: No. 216
**Raw total energy**: -59.554 eV for the cell shown

Record 2
Here is Y4Nb2Cd3N3 after structural relaxation from OQMD via LeMat-Bulk. Energies are from PBE.

The structure in POSCAR format:
```
Y4Nb2Cd3N3
1.0
5.0921 -2.9666 0.0000
5.0921 2.9666 0.0000
-3.5311 0.0000 14.9866
Y Nb Cd N
8 4 6 6
direct
0.0387 0.1913 0.0918
0.1273 0.3030 0.4081
0.1913 0.0387 0.5918
0.3030 0.1273 0.9081
0.6970 0.8727 0.0919
0.8087 0.9613 0.4082
0.8727 0.6970 0.5919
0.9613 0.8087 0.9082
0.3524 0.5230 0.0666
0.4770 0.6476 0.4334
0.5230 0.3524 0.5666
0.6476 0.4770 0.9334
0.1392 0.8608 0.2500
0.3013 0.4190 0.7523
0.4190 0.3013 0.2523
0.5810 0.6987 0.7477
0.6987 0.5810 0.2477
0.8608 0.1392 0.7500
0.0000 0.5000 0.0000
0.1763 0.6624 0.5001
0.3376 0.8237 0.9999
0.5000 0.0000 0.5000
0.6624 0.1763 0.0001
0.8237 0.3376 0.4999
```

Properties
**Symmetry**: No. 15
**Raw total energy**: -166.999 eV for the cell shown

Record 3
Here is Sc2Hg after structural relaxation from OQMD via LeMat-Bulk. Energies are from PBE.

The structure in POSCAR format:
```
Sc2Hg
1.0
5.7994 0.0000 0.0000
-2.8997 5.0224 0.0000
0.0000 0.0000 14.4718
Sc Hg
12 6
direct
0.0000 0.5000 0.0564
0.0000 0.5000 0.2769
0.1714 0.3428 0.5000
0.1714 0.8286 0.8333
0.3428 0.1714 0.1667
0.5000 0.0000 0.3898
0.5000 0.0000 0.6102
0.5000 0.5000 0.7231
0.5000 0.5000 0.9436
0.6572 0.8286 0.1667
0.8286 0.1714 0.8333
0.8286 0.6572 0.5000
0.0000 0.0000 0.0000
0.0000 0.0000 0.3333
0.0000 0.0000 0.6667
0.0000 0.5000 0.6667
0.5000 0.0000 0.0000
0.5000 0.5000 0.3333
```

Properties
**Symmetry**: No. 180
**Raw total energy**: -80.714 eV for the cell shown

Record 4
Here is GdMgZn after structural relaxation from OQMD via LeMat-Bulk. Energies are from PBE.

The structure in POSCAR format:
```
GdMgZn
1.0
6.2490 0.0000 0.0000
3.0067 5.5716 0.0000
0.4348 0.2635 8.0364
Gd Mg Zn
4 4 4
direct
0.0000 0.0000 0.0000
0.0734 0.4370 0.1186
0.2641 0.1401 0.5425
0.6933 0.5758 0.7517
0.1900 0.6040 0.7276
0.2403 0.7141 0.3655
0.5348 0.9003 0.1585
0.7331 0.2675 0.3671
0.4595 0.1461 0.8700
0.5229 0.4682 0.0723
0.8024 0.0295 0.6541
0.8062 0.7230 0.4285
```

Properties
**Symmetry**: No. 1
**Raw total energy**: -31.241 eV for the cell shown

Record 5
Here is PdWAu2 after structural relaxation from OQMD via LeMat-Bulk. Energies are from PBE.

The structure in POSCAR format:
```
PdWAu2
1.0
6.4360 0.0000 0.0000
0.0000 6.4360 0.0000
0.0000 0.0000 6.4360
Pd W Au
4 4 8
direct
0.0000 0.0000 0.0000
0.0000 0.5000 0.5000
0.5000 0.0000 0.5000
0.5000 0.5000 0.0000
0.2500 0.2500 0.2500
0.2500 0.7500 0.7500
0.7500 0.2500 0.7500
0.7500 0.7500 0.2500
0.0000 0.0000 0.5000
0.0000 0.5000 0.0000
0.2500 0.2500 0.7500
0.2500 0.7500 0.2500
0.5000 0.0000 0.0000
0.5000 0.5000 0.5000
0.7500 0.2500 0.2500
0.7500 0.7500 0.7500
```

Properties
**Symmetry**: No. 216
**Relative energy among the computed polymorphs**: 37 meV/atom
**Raw total energy**: -92.658 eV for the cell shown

Record 6
Here is BaMgFeSb2 after structural relaxation from OQMD via LeMat-Bulk. Energies are from PBE.

The structure in POSCAR format:
```
BaMgFeSb2
1.0
4.6470 0.0000 0.0000
-2.3235 4.0244 0.0000
0.0000 0.0000 8.0833
Ba Mg Fe Sb
1 1 1 2
direct
0.0000 0.0000 0.0000
0.3333 0.6667 0.6135
0.6667 0.3333 0.3703
0.3333 0.6667 0.2715
0.6667 0.3333 0.7132
```

Properties
**Symmetry**: No. 156
**Raw total energy**: -21.681 eV for the cell shown

Record 7
Here is LiLuZrNi after structural relaxation from OQMD via LeMat-Bulk. Energies are from PBE.

The structure in POSCAR format:
```
LiLuZrNi
1.0
6.6258 0.0000 0.0000
0.0000 6.6258 0.0000
0.0000 0.0000 6.6258
Li Lu Zr Ni
4 4 4 4
direct
0.0000 0.0000 0.0000
0.0000 0.5000 0.5000
0.5000 0.0000 0.5000
0.5000 0.5000 0.0000
0.2500 0.2500 0.2500
0.2500 0.7500 0.7500
0.7500 0.2500 0.7500
0.7500 0.7500 0.2500
0.2500 0.2500 0.7500
0.2500 0.7500 0.2500
0.7500 0.2500 0.2500
0.7500 0.7500 0.7500
0.0000 0.0000 0.5000
0.0000 0.5000 0.0000
0.5000 0.0000 0.0000
0.5000 0.5000 0.5000
```

Properties
**Symmetry**: No. 216
**Relative energy among the computed polymorphs**: 0 meV/atom
**Raw total energy**: -83.320 eV for the cell shown

Record 8
Here is TmOsNO after structural relaxation from OQMD via LeMat-Bulk. Energies are from PBE.

The structure in POSCAR format:
```
TmOsNO
1.0
4.8545 0.0000 0.0000
0.0000 4.8545 0.0000
0.0000 0.0000 4.1961
Tm Os N O
2 2 2 2
direct
0.2500 0.7500 0.0000
0.7500 0.2500 0.0000
0.2500 0.2500 0.4984
0.7500 0.7500 0.5016
0.2500 0.2500 0.9983
0.7500 0.7500 0.0017
0.2500 0.7500 0.5000
0.7500 0.2500 0.5000
```

Properties
**Symmetry**: No. 129
**Relative energy among the computed polymorphs**: 754 meV/atom
**Raw total energy**: -63.698 eV for the cell shown

Record 9
Here is CsYZnS3 after structural relaxation from OQMD via LeMat-Bulk. Energies are from PBE.

The structure in POSCAR format:
```
CsYZnS3
1.0
9.3100 0.0000 0.0000
0.0000 4.0358 0.0000
-3.6291 0.0000 9.2334
Cs Y Zn S
2 2 2 6
direct
0.2170 0.2500 0.2435
0.7830 0.7500 0.7565
0.3326 0.7500 0.8611
0.6674 0.2500 0.1389
0.0833 0.2500 0.6108
0.9167 0.7500 0.3892
0.1260 0.2500 0.8542
0.1871 0.7500 0.5455
0.4741 0.7500 0.1511
0.5259 0.2500 0.8489
0.8129 0.2500 0.4545
0.8740 0.7500 0.1458
```

Properties
**Symmetry**: No. 11
**Raw total energy**: -59.942 eV for the cell shown

Record 10
Here is SmTmAgTe3 after structural relaxation from OQMD via LeMat-Bulk. Energies are from PBE.

The structure in POSCAR format:
```
SmTmAgTe3
1.0
8.2336 0.0000 0.0000
0.0000 4.2548 0.0000
-2.7480 0.0000 9.7552
Sm Tm Ag Te
2 2 2 6
direct
0.2332 0.2500 0.2903
0.7668 0.7500 0.7097
0.3058 0.7500 0.8149
0.6942 0.2500 0.1851
0.0984 0.2500 0.5735
0.9016 0.7500 0.4265
0.0552 0.2500 0.8443
0.3401 0.7500 0.5306
0.4142 0.7500 0.1346
0.5858 0.2500 0.8654
0.6599 0.2500 0.4694
0.9448 0.7500 0.1557
```

Properties
**Symmetry**: No. 11
**Raw total energy**: -55.780 eV for the cell shown

Record 11
Here is Na2AlIrS4 after structural relaxation from OQMD via LeMat-Bulk. Energies are from PBE.

The structure in POSCAR format:
```
Na2AlIrS4
1.0
6.8025 0.0000 0.0000
0.0000 6.8025 0.0000
0.0000 0.0000 7.2712
Na Al Ir S
4 2 2 8
direct
0.0000 0.0000 0.0000
0.0000 0.5000 0.2500
0.5000 0.0000 0.7500
0.5000 0.5000 0.5000
0.0000 0.5000 0.7500
0.5000 0.0000 0.2500
0.0000 0.0000 0.5000
0.5000 0.5000 0.0000
0.1719 0.7240 0.5823
0.2240 0.3281 0.9177
0.2760 0.1719 0.4177
0.3281 0.7760 0.0823
0.6719 0.2240 0.0823
0.7240 0.8281 0.4177
0.7760 0.6719 0.9177
0.8281 0.2760 0.5823
```

Properties
**Symmetry**: No. 82
**Raw total energy**: -74.790 eV for the cell shown

Record 12
Here is Lu2Ta4Ga3N3 after structural relaxation from OQMD via LeMat-Bulk. Energies are from PBE.

The structure in POSCAR format:
```
Lu2Ta4Ga3N3
1.0
4.7699 -2.7702 0.0000
4.7699 2.7702 0.0000
-3.2194 0.0000 13.5936
Lu Ta Ga N
4 8 6 6
direct
0.0372 0.8767 0.6111
0.1233 0.9628 0.8889
0.8767 0.0372 0.1111
0.9628 0.1233 0.3889
0.1955 0.3580 0.0819
0.3044 0.4737 0.4182
0.3580 0.1955 0.5819
0.4737 0.3044 0.9182
0.5263 0.6956 0.0818
0.6420 0.8045 0.4181
0.6956 0.5263 0.5818
0.8045 0.6420 0.9181
0.0834 0.3801 0.7507
0.3801 0.0834 0.2507
0.4555 0.5445 0.2500
0.5445 0.4555 0.7500
0.6199 0.9166 0.7493
0.9166 0.6199 0.2493
0.0000 0.5000 0.5000
0.1595 0.6795 0.9998
0.3205 0.8405 0.5002
0.5000 0.0000 0.0000
0.6795 0.1595 0.4998
0.8405 0.3205 0.0002
```

Properties
**Symmetry**: No. 15
**Raw total energy**: -201.659 eV for the cell shown